VASP calculation (PBE-GGA) on Y3TmPb2C after structural relaxation.

extended XYZ file:
```
7
Lattice="-2.083 1.490 -4.031 -4.318 -0.244 2.141 3.972 7.017 3.370" Properties=species:S:1:pos:R:3 pbc="T T T"
Tm -1.041 0.745 -2.015
Y -2.159 -0.122 1.071
C 0.000 0.000 0.000
Pb 0.552 5.471 1.737
Y -2.673 5.855 0.716
Pb -2.982 2.791 -0.256
Y 0.243 2.408 0.764
```

Properties
mass density = 7.71 g/cm³
formation energy from the elements = -0.5961 eV per atom

VASP calculation (PBE-GGA) on Cs4U3HgO12 after structural relaxation.

extended XYZ file:
```
20
Lattice="-6.454 2.690 -3.254 -1.442 -6.806 3.328 2.467 4.997 5.331" Properties=species:S:1:pos:R:3 pbc="T T T"
Cs -2.715 0.441 2.703
O -4.945 -0.136 0.556
U -3.948 -2.058 0.037
O -1.462 -1.933 4.348
Cs -3.227 1.345 -1.627
O -0.485 1.018 4.849
O -1.118 2.155 0.582
O -3.968 2.814 1.057
O 0.287 -0.507 2.428
O -5.682 -2.962 0.054
O 0.737 -1.301 6.231
Cs -0.721 -3.403 1.664
Hg 0.000 0.000 0.000
O -1.737 3.391 3.203
O -2.214 -1.154 0.021
O -2.869 5.532 1.495
U 0.512 -0.904 4.330
O -3.692 -2.510 2.202
U -1.994 3.843 1.039
Cs 1.233 2.499 2.665
```

Properties
mass density = 7.71 g/cm³
energy relative to the elements, uncorrected = -237.9 kJ per mole of atoms

VASP calculation (PBE-GGA) on GdTmTcHg after structural relaxation.

extended XYZ file:
```
4
Lattice="5.027 0.000 0.000 2.513 4.353 0.000 2.513 1.451 4.104" Properties=species:S:1:pos:R:3 pbc="T T T"
Tc 2.513 1.451 1.026
Tm 5.027 2.902 2.052
Gd 0.000 0.000 0.000
Hg 7.540 4.353 3.078
```

Properties
mass density = 11.55 g/cm³
formation energy from the elements = -0.1521 eV per atom

VASP calculation (PBE-GGA) on La2Tb7Sm2 after structural relaxation.

extended XYZ file:
```
11
Lattice="-3.796 4.841 -3.256 3.746 -2.621 -8.260 -2.195 -6.517 1.070" Properties=species:S:1:pos:R:3 pbc="T T T"
La 0.366 -1.732 -4.679
Sm -3.361 1.757 -2.081
La -2.612 -2.565 -5.766
Sm 1.116 -6.054 -8.364
Tb 1.458 -5.046 -5.100
Tb -0.707 1.587 -4.252
Tb 0.076 -2.988 -7.866
Tb -2.322 -1.310 -2.579
Tb -3.704 0.748 -5.345
Tb -1.538 -5.884 -6.193
Tb 0.000 0.000 0.000
```

Properties
mass density = 7.36 g/cm³
excess energy over the best structure of this formula in the dataset = 193 meV per atom
formation energy from the elements = 0.3381 eV per atom

VASP calculation (PBE-GGA) on LiCaHfGa2 after structural relaxation.

extended XYZ file:
```
5
Lattice="-1.226 -5.236 0.618 4.907 -1.341 -1.624 1.747 0.195 5.119" Properties=species:S:1:pos:R:3 pbc="T T T"
Ca 0.000 0.000 0.000
Ga 0.874 0.098 2.560
Li 2.714 -3.191 2.057
Ga -0.613 -2.618 0.309
Hf 2.454 -0.670 -0.812
```

Properties
mass density = 3.87 g/cm³
formation energy from the elements = 1.1588 eV per atom

VASP calculation (PBE-GGA) on KAcHgSb after structural relaxation.

extended XYZ file:
```
4
Lattice="5.755 0.000 0.000 2.877 4.984 0.000 2.877 1.661 4.699" Properties=species:S:1:pos:R:3 pbc="T T T"
Hg 5.755 3.323 2.349
Sb 0.000 0.000 0.000
K 8.632 4.984 3.524
Ac 2.877 1.661 1.175
```

Properties
mass density = 7.25 g/cm³
energy relative to the elements, uncorrected = -49.6 kJ per mole of atoms

VASP calculation (PBE-GGA) on ThFeAs2Rh5 after structural relaxation.

extended XYZ file:
```
9
Lattice="-2.564 -1.280 -2.786 -1.384 -2.757 2.540 -7.303 6.928 3.539" Properties=species:S:1:pos:R:3 pbc="T T T"
Rh -2.314 0.339 -0.893
As -2.002 1.899 0.970
As -5.301 5.028 2.569
Rh -3.651 3.464 1.770
Th -5.625 1.446 1.647
Rh -6.963 4.570 4.309
Fe 0.000 0.000 0.000
Rh -1.724 -0.400 1.770
Rh -7.553 5.309 1.646
```

Properties
mass density = 9.28 g/cm³
formation energy from the elements = -0.1879 eV per atom

Number 1: VASP energy -44.68 eV per cell. Number 2: VASP energy -146.39 eV per cell. Number 3: VASP energy -29.83 eV per cell. Number 4: VASP energy -47.99 eV per cell. Number 5: VASP energy -14.13 eV per cell. Number 6: VASP energy -11.68 eV per cell. Number 7: VASP energy -63.63 eV per cell.